The following is a PBE calculation of a relaxed structure of KBiPb2O4, from the Alexandria database.

abc: 7.3723 7.3723 7.4118
angles: 120.18 120.18 89.40
Last column: nearest neighbours and their distance in Å.
Positions (direct):
K 0.0000 0.5000 0.0000  6 O 2.60-2.69
K 0.0000 0.5000 0.5000  6 O 2.60-2.69
Bi 0.5000 0.5000 0.5000  6 O 2.42-2.53
Bi 0.0000 0.0000 0.0000  6 O 2.42-2.53
Pb 0.5000 0.0000 0.0000  6 O 2.57-2.59
Pb 0.5000 0.0000 0.5000  6 O 2.57-2.59
Pb 0.0000 0.0000 0.5000  6 O 2.71-2.77
Pb 0.5000 0.5000 0.0000  6 O 2.71-2.77
O 0.2446 0.7783 0.0115  1 Bi 2.42, 2 Pb 2.57, 2 K 2.69
O 0.7217 0.2554 0.4885  1 Bi 2.42, 2 Pb 2.57, 2 K 2.69
O 0.2783 0.7446 0.5115  1 Bi 2.42, 2 Pb 2.57, 2 K 2.69
O 0.7554 0.2217 0.9885  1 Bi 2.42, 2 Pb 2.57, 2 K 2.69
O 0.7499 0.7502 0.9828  2 Bi 2.53, 3 Pb 2.59-2.71, 1 K 2.60
O 0.7498 0.7501 0.5172  2 Bi 2.53, 3 Pb 2.59-2.71, 1 K 2.60
O 0.2502 0.2499 0.4828  2 Bi 2.53, 3 Pb 2.59-2.71, 1 K 2.60
O 0.2501 0.2498 0.0172  2 Bi 2.53, 3 Pb 2.59-2.71, 1 K 2.60

Summary:
Space group   Imma, No. 74
Fermi-level density of states   6.0 states/eV/cell
Energy relative to the elements, uncorrected   -1.038 eV per atom
Calculated volume   17.80 Å³/atom